# 1
Crystalline HfPaNbW at its relaxed geometry. Source: the Alexandria database, functional PBE-GGA.

POSCAR file:
```
HfPaNbW
1.0
0.000 3.425 3.425
3.425 0.000 3.425
3.425 3.425 0.000
Hf Pa Nb W
1 1 1 1
Cartesian
0.000 0.000 0.000 Hf
3.425 3.425 3.425 Pa
1.713 1.713 1.713 Nb
5.138 5.138 5.138 W
```

Total magnetization ... 0.00 μB/cell
Calculated total energy ... -10.543 eV/atom

***

# 2
Crystalline HfNbPb2 at its relaxed geometry. Source: the Alexandria database, functional PBE-GGA.

POSCAR file:
```
HfNbPb2
1.0
-3.962 3.962 3.122
3.962 -3.962 3.122
3.962 3.962 -3.122
Hf Nb Pb
2 2 4
Cartesian
0.000 0.000 0.000 Hf
0.000 3.962 1.561 Hf
3.962 0.000 1.561 Nb
0.000 0.000 3.122 Nb
1.981 2.032 -0.780 Pb
5.891 1.981 0.780 Pb
1.981 1.930 2.341 Pb
-1.930 1.981 3.902 Pb
```

Total magnetization ... 0.00 μB/cell
Polymorph energy (0 for the lowest one) ... 0.730 eV/f.u.
Calculated total energy ... -6.325 eV/atom

***

# 3
Crystalline HfNb2Pb at its relaxed geometry. Source: the Alexandria database, functional PBE-GGA.

POSCAR file:
```
HfNb2Pb
1.0
4.174 0.000 0.000
0.000 4.174 0.000
0.000 0.000 4.664
Hf Nb Pb
1 2 1
Cartesian
0.000 0.000 0.000 Hf
0.000 2.087 2.332 Nb
2.087 0.000 2.332 Nb
2.087 2.087 0.000 Pb
```

Total magnetization ... 0.00 μB/cell
Calculated total energy ... -8.363 eV/atom

***

# 4
Crystalline HfNbPb2 at its relaxed geometry. Source: the Alexandria database, functional PBE-GGA.

POSCAR file:
```
HfNbPb2
1.0
0.000 3.548 3.548
3.548 0.000 3.548
3.548 3.548 0.000
Hf Nb Pb
1 1 2
Cartesian
0.000 0.000 0.000 Hf
3.548 3.548 3.548 Nb
1.774 1.774 1.774 Pb
5.322 5.322 5.322 Pb
```

Total magnetization ... 0.00 μB/cell
Polymorph energy (0 for the lowest one) ... 0.000 eV/f.u.
Calculated total energy ... -6.507 eV/atom

***

# 5
Crystalline Hf7NbPb2 at its relaxed geometry. Source: the Alexandria database, functional PBE-GGA.

POSCAR file:
```
Hf7NbPb2
1.0
0.000 5.151 5.151
5.151 0.000 5.151
5.151 5.151 0.000
Hf Nb Pb
7 1 2
Cartesian
0.000 0.000 0.000 Hf
5.151 5.151 2.608 Hf
5.151 2.608 5.151 Hf
7.694 5.151 5.151 Hf
2.608 5.151 5.151 Hf
5.151 7.694 5.151 Hf
5.151 5.151 7.694 Hf
5.151 5.151 5.151 Nb
2.576 2.576 2.576 Pb
7.727 7.727 7.727 Pb
```

Total magnetization ... 0.01 μB/cell
Calculated total energy ... -7.689 eV/atom

***

# 6
Crystalline HfNb3Pb at its relaxed geometry. Source: the Alexandria database, functional PBE-GGA.

POSCAR file:
```
HfNb3Pb
1.0
4.965 0.000 0.000
0.000 4.965 0.000
0.000 0.000 4.965
Hf Nb Pb
1 3 1
Cartesian
0.000 0.000 0.000 Hf
0.000 0.000 2.483 Nb
0.000 2.483 0.000 Nb
2.483 0.000 0.000 Nb
2.483 2.483 2.483 Pb
```

Total magnetization ... 0.00 μB/cell
Polymorph energy (0 for the lowest one) ... 0.000 eV/f.u.
Calculated total energy ... -7.346 eV/atom